[1]
Pm4Pr2Ho2Er after structural relaxation. Source: Alexandria, functional GGA-PBE.

extended XYZ file:
```
9
Lattice="-3.2746 3.8293 0.9646 -2.9242 -6.7833 3.3601 5.2825 3.2105 5.1876" Properties=species:S:1:pos:R:3 pbc="T T T"
Pm -0.2742 -1.0944 3.4134
Pm -0.5154 -2.1770 6.8923
Pm -0.6422 1.3507 6.0990
Pm -0.4009 2.4334 2.6201
Pr 2.5190 1.0625 4.3331
Pr -3.4353 -0.8061 5.1792
Er 0.0000 0.0000 0.0000
Ho 2.2358 -0.0403 7.7495
Ho -3.1521 0.2967 1.7629
```

***

[2]
Pm6PrHo2Er after structural relaxation. Source: Alexandria, functional GGA-PBE.

extended XYZ file:
```
20
Lattice="0.4171 -0.3921 -9.6109 0.0902 -8.8794 0.9088 -7.9596 4.0400 0.0324" Properties=species:S:1:pos:R:3 pbc="T T T"
Ho -5.8847 -3.3428 -8.4912
Ho -1.5677 -1.8888 -0.1785
Ho -2.1643 -0.7927 -5.0716
Ho -5.2881 -4.4389 -3.5981
Pm -0.6390 -6.4712 -4.6430
Pm -4.1808 1.9173 -6.5610
Pm -2.1240 -3.5225 -3.2006
Pm -1.4531 -7.2246 -8.2713
Pm -7.5073 -0.2122 -7.3981
Pm -3.6887 -0.8726 -8.1991
Pm -3.7637 -4.3589 -0.4706
Pm 0.0550 -5.0194 -1.2716
Pm -5.9993 1.9931 -0.3984
Pm -5.3284 -1.7091 -5.4692
Pm -3.2716 -7.1489 -2.1088
Pm -6.8134 1.2397 -4.0268
Er -2.9068 -3.8616 -6.6597
Er -4.5456 -1.3700 -2.0100
Pr -7.4197 3.3813 -7.1511
Pr -0.0327 -8.6129 -1.5186
```

***

[3]
PmPr4HoEr2 after structural relaxation. Source: Alexandria, functional GGA-PBE.

extended XYZ file:
```
8
Lattice="5.1828 0.0000 0.0000 0.0000 5.0526 1.0209 0.0000 3.0519 10.9387" Properties=species:S:1:pos:R:3 pbc="T T T"
Pr 2.5914 3.5599 8.4352
Pr 2.5915 4.5445 3.5244
Pr 0.0000 6.0836 8.9513
Pr 5.1828 2.0208 3.0083
Ho 0.0000 4.0522 5.9798
Pm 2.5914 2.5263 0.5104
Er 0.0000 3.0519 10.9387
Er 2.5914 1.5259 5.4693
```

***

[4]
Pm3PrHo6Er2 after structural relaxation. Source: Alexandria, functional GGA-PBE.

extended XYZ file:
```
12
Lattice="6.1811 0.0005 0.0107 -3.0886 5.3541 0.0107 -1.0460 -1.8112 11.6097" Properties=species:S:1:pos:R:3 pbc="T T T"
Ho -0.0171 3.5477 8.7423
Ho 3.0814 1.7582 8.7423
Ho -1.0350 1.7852 2.8888
Ho 2.0635 -0.0043 2.8888
Ho 2.0558 3.5596 2.8980
Ho -0.0094 -0.0163 8.7331
Pm -2.0645 3.5549 5.8155
Pm 1.0232 1.7717 5.8155
Pm 4.1109 -0.0116 5.8155
Er -0.0006 3.5706 0.0107
Er 3.0931 1.7839 0.0107
Pr 0.0000 0.0000 0.0000
```

***

[5]
Pm3PrHo2Er6 after structural relaxation. Source: Alexandria, functional GGA-PBE.

extended XYZ file:
```
12
Lattice="6.1746 0.0005 0.0100 -3.0854 5.3484 0.0100 -1.0449 -1.8092 11.5656" Properties=species:S:1:pos:R:3 pbc="T T T"
Er 2.0547 3.5577 2.8906
Er -0.0104 -0.0179 8.6949
Er 2.0606 -0.0038 2.8810
Er -1.0331 1.7830 2.8810
Er 3.0774 1.7567 8.7045
Er -0.0163 3.5435 8.7045
Pm 4.1073 -0.0119 5.7927
Pm -2.0630 3.5517 5.7927
Pm 1.0222 1.7699 5.7927
Ho 3.0887 1.7827 0.0100
Ho 0.0005 3.5663 0.0100
Pr 0.0000 0.0000 0.0000
```

***

[6]
PmPrHo2Er after structural relaxation. Source: Alexandria, functional GGA-PBE.

extended XYZ file:
```
10
Lattice="6.4155 0.0000 0.0000 0.0000 6.4243 0.0000 0.0000 -3.2121 8.3502" Properties=species:S:1:pos:R:3 pbc="T T T"
Pr 1.6039 3.2121 2.6415
Pr 4.8116 0.0000 5.7087
Ho 0.0000 4.8257 0.0000
Ho 0.0000 1.5986 0.0000
Ho 3.2077 1.5986 0.0000
Ho 3.2077 4.8257 0.0000
Pm 4.8116 0.0000 2.6164
Pm 1.6039 3.2121 5.7338
Er 1.6039 0.0000 4.0644
Er 4.8116 3.2121 4.2858
```

***

[7]
Pm6Pr3HoEr2 after structural relaxation. Source: Alexandria, functional GGA-PBE.

extended XYZ file:
```
12
Lattice="6.3016 -0.0020 0.0062 -3.1510 5.4572 0.0062 -1.0637 -1.8417 11.8246" Properties=species:S:1:pos:R:3 pbc="T T T"
Pr 4.1936 -0.0126 5.9185
Pr -2.1067 3.6261 5.9185
Pr 1.0435 1.8067 5.9185
Pm 2.0984 3.6333 2.8968
Pm -1.0518 1.8174 2.8905
Pm 3.1387 1.7961 8.9464
Pm -0.0129 3.6163 8.9464
Pm 2.0998 -0.0028 2.8905
Pm -0.0115 -0.0198 8.9402
Er 3.1507 1.8178 0.0062
Er -0.0001 3.6375 0.0062
Ho 0.0000 0.0000 0.0000
```

***

[8]
Pm2Pr6HoEr after structural relaxation. Source: Alexandria, functional GGA-PBE.

extended XYZ file:
```
20
Lattice="9.3028 -2.1864 -2.2690 0.8506 8.7527 -2.0810 0.8506 -2.4039 8.6695" Properties=species:S:1:pos:R:3 pbc="T T T"
Pr 8.7354 -0.3823 5.8434
Pr 8.8855 -0.5784 1.7565
Pr 5.1039 -0.9774 6.1173
Pr 4.0840 6.9468 0.9690
Pr 5.9000 5.1397 -1.7977
Pr 9.7554 5.0561 -1.8844
Pr 4.2341 2.8700 0.6216
Pr 6.7698 1.2924 3.6980
Pr 2.1184 4.7407 2.5630
Pr 6.9200 -2.7844 3.3506
Pr 1.2486 -0.8937 6.2040
Pr 2.2686 4.5447 -1.5238
Er 3.1763 1.6228 3.6954
Er 7.8277 2.5395 0.6242
Pm 0.8278 2.0162 0.9927
Pm 5.4792 -0.1759 0.9171
Pm 10.1762 2.1462 3.3269
Pm 5.5247 4.3382 3.4025
Ho 7.8277 -3.7857 6.7192
Ho 3.1763 7.9480 -2.3996
```

***

Calculated total energy / eV for the cell shown: -42.1 -91.7 -37.5 -55.4 -55.3 -43.0 -56.3 -92.4